# CaGeO3

A relaxed CaGeO3 crystal (GGA-PBE, Alexandria).

abc: 8.554 9.632 10.906
angles: 74.18 89.70 77.34
Fractional positions:
Ca1 0.071 0.146 0.172
Ca2 0.081 0.159 0.507
Ca3 0.245 0.500 0.493
Ca4 0.264 0.495 0.994
Ca5 0.405 0.851 0.992
Ca6 0.419 0.849 0.338
Ca7 0.581 0.151 0.662
Ca8 0.595 0.149 0.008
Ca9 0.736 0.505 0.006
Ca10 0.755 0.500 0.507
Ca11 0.919 0.841 0.493
Ca12 0.929 0.854 0.828
Ge1 0.001 0.503 0.247
Ge2 0.100 0.801 0.134
Ge3 0.247 0.201 0.788
Ge4 0.258 0.802 0.631
Ge5 0.396 0.207 0.284
Ge6 0.496 0.502 0.747
Ge7 0.504 0.498 0.253
Ge8 0.604 0.793 0.716
Ge9 0.742 0.198 0.369
Ge10 0.753 0.799 0.212
Ge11 0.900 0.199 0.866
Ge12 0.999 0.497 0.753
O1 0.008 0.590 0.594
O2 0.066 0.403 0.139
O3 0.073 0.915 0.646
O4 0.102 0.094 0.860
O5 0.120 0.635 0.264
O6 0.136 0.759 0.989
O7 0.185 0.371 0.834
O8 0.228 0.909 0.163
O9 0.247 0.241 0.622
O10 0.248 0.756 0.487
O11 0.261 0.099 0.350
O12 0.311 0.635 0.762
O13 0.375 0.375 0.333
O14 0.390 0.247 0.118
O15 0.411 0.902 0.641
O16 0.432 0.095 0.862
O17 0.452 0.591 0.095
O18 0.483 0.406 0.636
O19 0.517 0.594 0.364
O20 0.548 0.409 0.905
O21 0.568 0.905 0.138
O22 0.589 0.098 0.359
O23 0.610 0.753 0.882
O24 0.625 0.625 0.667
O25 0.689 0.365 0.238
O26 0.739 0.901 0.650
O27 0.752 0.244 0.513
O28 0.753 0.759 0.378
O29 0.772 0.091 0.837
O30 0.815 0.629 0.166
O31 0.864 0.241 0.011
O32 0.880 0.365 0.736
O33 0.898 0.906 0.140
O34 0.927 0.085 0.354
O35 0.934 0.597 0.861
O36 0.992 0.410 0.406

Values from the calculation:
E_form (uncorrected) in eV/atom: -2.3173
M_tot in μB per cell: 0.21
Symmetry: P-1
Fermi-level density of states in states/eV per atom: 0.00

=====

# CaGe3O

A relaxed CaGe3O crystal (GGA-PBE, Alexandria).

abc: 4.557 4.557 4.557
angles: 90.00 90.00 90.00
Fractional positions:
Ca1 0.000 0.000 0.000
Ge1 0.000 0.500 0.500
Ge2 0.500 0.000 0.500
Ge3 0.500 0.500 0.000
O1 0.500 0.500 0.500

Values from the calculation:
E_form (uncorrected) in eV/atom: -0.2987
M_tot in μB per cell: 0.00
Relative energy among the computed polymorphs in eV/atom: 0.000
Symmetry: Pm-3m
Fermi-level density of states in states/eV per atom: 0.41

=====

# Ca3GeO

A relaxed Ca3GeO crystal (GGA-PBE, Alexandria).

abc: 4.741 4.741 4.741
angles: 90.00 90.00 90.00
Fractional positions:
Ca1 0.000 0.000 0.500
Ca2 0.000 0.500 0.000
Ca3 0.500 0.000 0.000
Ge1 0.500 0.500 0.500
O1 0.000 0.000 0.000

Values from the calculation:
E_form (uncorrected) in eV/atom: -1.5426
M_tot in μB per cell: 0.00
Symmetry: Pm-3m
Fermi-level density of states in states/eV per atom: 0.00

=====

no.,V (Å³/cell),calculated total energy (eV per atom)
1,842.1,-6.62
2,94.6,-4.46
3,106.6,-4.66